Compound: PmSi2Rh2
Source: Alexandria
Functional: PBE
Structure: relaxed

Summary:
electronic total energy = -7.16 eV per atom
formation energy (no corrections) = -1.105 eV per atom

Lattice parameters (Å, degrees): 4.1006 4.1006 10.1235 90.00 90.00 90.00
Space group I4/mmm (No. 139)
Unique sites:
Pm: 0.0000 0.0000 0.0000 (multiplicity 2)
Si: 0.0000 0.0000 0.3760 (multiplicity 4)
Rh: 0.0000 0.5000 0.2500 (multiplicity 4)